[1]
TbNd5In3 PBE relaxed; formation energy from the elements = -0.34 eV/atom; volume = 551.5 Å³ per cell; final energy = -4.42 eV per atom
1.0
6.9146 0.0000 0.0000
0.0000 9.5995 0.0000
0.0000 -4.7998 8.3092
Tb Nd In
2 10 6
direct
0.0000 0.0000 0.0000
0.5000 0.0000 0.0000
0.0000 0.6664 0.3329
0.5000 0.3336 0.6671
0.0000 0.3336 0.6671
0.5000 0.6664 0.3329
0.7500 0.6630 0.6629
0.7500 0.0001 0.3371
0.7500 0.3369 0.0000
0.2500 0.3370 0.3371
0.2500 0.9999 0.6629
0.2500 0.6631 0.0000
0.7500 0.3265 0.3265
0.7500 0.0000 0.6735
0.7500 0.6733 0.0000
0.2500 0.6735 0.6735
0.2500 0.0000 0.3265
0.2500 0.3267 0.0000



[2]
Tb2NdIn3 PBE relaxed; formation energy from the elements = -0.48 eV/atom; excess energy over the best structure of this formula in the dataset = 0 meV per atom; volume = 165.5 Å³ per cell; final energy = -4.19 eV per atom
1.0
3.7907 0.0000 0.0000
0.0000 3.7907 0.0000
0.0000 0.0000 11.5189
Tb Nd In
2 1 3
direct
0.5000 0.5000 0.8376
0.5000 0.5000 0.1624
0.5000 0.5000 0.5000
0.0000 0.0000 0.0000
0.0000 0.0000 0.6759
0.0000 0.0000 0.3241



[3]
Tb3Nd5In2 PBE relaxed; formation energy from the elements = 0.11 eV/atom; volume = 672.1 Å³ per cell; final energy = -4.21 eV per atom
1.0
-4.7045 4.4585 0.9620
-9.4484 -4.9367 -1.0101
-1.1738 1.2972 10.5643
Tb Nd In
6 10 4
direct
0.2500 0.0000 0.0000
0.7500 0.0000 0.0000
0.3924 0.3372 0.8780
0.6076 0.6628 0.1220
0.8924 0.8780 0.3372
0.1076 0.1220 0.6628
0.2500 0.5000 0.5000
0.7500 0.5000 0.5000
0.4986 0.7514 0.7514
0.0014 0.2486 0.2486
0.5014 0.2486 0.2486
0.9986 0.7514 0.7514
0.1282 0.5353 0.2083
0.8718 0.4647 0.7917
0.6282 0.2083 0.5353
0.3718 0.7917 0.4647
0.1256 0.7302 0.0187
0.8744 0.2698 0.9813
0.6256 0.0187 0.7302
0.3744 0.9813 0.2698



[4]
Tb3Nd4In4 PBE relaxed; formation energy from the elements = -0.32 eV/atom; volume = 337.9 Å³ per cell; final energy = -4.31 eV per atom
1.0
3.6537 0.0000 0.0000
0.0000 9.4870 0.0000
-1.8268 -4.7435 9.7484
Tb Nd In
3 4 4
direct
0.0937 0.0937 0.1873
0.9063 0.9063 0.8127
0.0000 0.5000 0.0000
0.3376 0.1616 0.6753
0.6624 0.4863 0.3247
0.6624 0.8384 0.3247
0.3376 0.5137 0.6753
0.2754 0.7754 0.5509
0.7246 0.2246 0.4491
0.5000 0.7803 0.0000
0.5000 0.2197 0.0000



[5]
TbNd3In4 PBE relaxed; formation energy from the elements = -0.31 eV/atom; excess energy over the best structure of this formula in the dataset = 179 meV per atom; volume = 248.3 Å³ per cell; final energy = -4.05 eV per atom
1.0
3.6281 0.0000 0.0000
0.0000 7.1471 -0.8394
-1.8140 -2.4641 9.8658
Tb Nd In
1 3 4
direct
0.5000 0.0000 0.0000
0.0000 0.5000 0.0000
0.2185 0.2189 0.4371
0.7815 0.7811 0.5629
0.3745 0.5864 0.7491
0.6255 0.4136 0.2509
0.6255 0.8378 0.2511
0.3745 0.1622 0.7489



[6]
Tb3NdIn4 PBE relaxed; formation energy from the elements = -0.32 eV/atom; excess energy over the best structure of this formula in the dataset = 165 meV per atom; volume = 235.4 Å³ per cell; final energy = -4.02 eV per atom
1.0
3.4621 0.0000 0.0000
0.0000 7.1496 -0.8612
-1.7310 -2.4436 9.8051
Tb Nd In
3 1 4
direct
0.0000 0.5000 0.0000
0.2193 0.2192 0.4387
0.7807 0.7808 0.5613
0.5000 0.0000 0.0000
0.3719 0.5809 0.7438
0.6281 0.4191 0.2562
0.6281 0.8369 0.2562
0.3719 0.1631 0.7438



[7]
Tb3NdIn2 PBE relaxed; formation energy from the elements = -0.35 eV/atom; excess energy over the best structure of this formula in the dataset = 0 meV per atom; volume = 353.9 Å³ per cell; final energy = -4.38 eV per atom
1.0
5.2615 0.0000 0.0000
0.0000 6.7744 0.0000
0.0000 0.0000 9.9283
Tb Nd In
6 2 4
direct
0.0000 0.4666 0.9600
0.0000 0.9666 0.0400
0.5000 0.6866 0.1774
0.5000 0.1866 0.8226
0.0000 0.3129 0.3161
0.0000 0.8129 0.6839
0.5000 0.5363 0.5379
0.5000 0.0363 0.4621
0.5000 0.7131 0.8589
0.5000 0.2131 0.1411
0.0000 0.2845 0.6456
0.0000 0.7845 0.3544



[8]
Tb3Nd2In4 PBE relaxed; formation energy from the elements = -0.41 eV/atom; excess energy over the best structure of this formula in the dataset = 0 meV per atom; volume = 259.0 Å³ per cell; final energy = -4.23 eV per atom
1.0
-3.0945 -3.6900 -2.3306
-2.3413 -3.7864 2.9626
-8.3368 6.1744 1.2939
Tb Nd In
3 2 4
direct
0.3333 0.3334 0.4248
0.0000 0.0000 0.0000
0.6667 0.6666 0.5752
0.3333 0.3334 0.7790
0.6667 0.6666 0.2210
0.6667 0.6667 0.8994
0.0000 0.0000 0.3505
0.0000 0.0000 0.6495
0.3333 0.3333 0.1006



[9]
Tb2Nd8In PBE relaxed; formation energy from the elements = -0.07 eV/atom; volume = 365.6 Å³ per cell; final energy = -4.63 eV per atom
1.0
5.0689 0.0000 0.0000
0.0000 8.1099 0.4900
-2.5344 -3.0091 8.7118
Tb Nd In
2 8 1
direct
0.7755 0.3667 0.5511
0.2245 0.6333 0.4489
0.4097 0.5574 0.8194
0.6785 0.9086 0.3570
0.8634 0.8211 0.7268
0.9556 0.2714 0.9113
0.1366 0.1789 0.2732
0.3215 0.0914 0.6430
0.5903 0.4426 0.1806
0.0444 0.7286 0.0887
0.5000 0.0000 0.0000



[10]
Tb2Nd6In PBE relaxed; formation energy from the elements = -0.04 eV/atom; excess energy over the best structure of this formula in the dataset = 23 meV per atom; volume = 593.7 Å³ per cell; final energy = -4.56 eV per atom
1.0
-5.1813 1.7075 -3.2791
5.5522 -7.6361 -6.5559
0.1456 -11.4933 -0.0214
Tb Nd In
4 12 2
direct
0.5749 0.8275 0.6722
0.9251 0.3278 0.1725
0.4251 0.1725 0.3278
0.0749 0.6722 0.8275
0.7188 0.5066 0.6503
0.7812 0.3497 0.4934
0.2812 0.4934 0.3497
0.2188 0.6503 0.5066
0.9181 0.9184 0.4180
0.5819 0.5819 0.0816
0.0819 0.0816 0.5820
0.4181 0.4181 0.9184
0.0629 0.8492 0.9937
0.4371 0.0063 0.1508
0.9371 0.1508 0.0063
0.5629 0.9937 0.8492
0.2500 0.2494 0.7506
0.7500 0.7506 0.2494



[11]
TbNd14In PBE relaxed; formation energy from the elements = -0.04 eV/atom; volume = 543.5 Å³ per cell; final energy = -4.67 eV per atom
1.0
-4.1320 4.8594 3.4674
-2.8526 -5.3117 4.0445
7.4478 1.3344 7.0055
Tb Nd In
1 14 1
direct
0.8750 0.1250 0.0000
0.3749 0.6251 0.5000
0.8752 0.1248 0.5000
0.8747 0.6248 0.0000
0.8751 0.6250 0.5000
0.3752 0.1253 0.0000
0.3750 0.1249 0.5000
0.6229 0.8728 0.7553
0.6229 0.8728 0.2447
0.1272 0.3771 0.7553
0.1272 0.3771 0.2447
0.1272 0.8728 0.7554
0.1272 0.8728 0.2446
0.6229 0.3771 0.7551
0.6229 0.3771 0.2449
0.3747 0.6253 0.0000



[12]
Tb4Nd7In PBE relaxed; formation energy from the elements = 0.03 eV/atom; excess energy over the best structure of this formula in the dataset = 0 meV per atom; volume = 410.9 Å³ per cell; final energy = -4.52 eV per atom
1.0
-6.2449 -0.8045 -1.5853
-7.0425 -3.9031 3.1253
-7.1923 7.1381 6.9110
Tb Nd In
4 7 1
direct
0.7302 0.3846 0.2304
0.2698 0.6154 0.7696
0.8108 0.7070 0.5866
0.1892 0.2930 0.4134
0.7361 0.5470 0.9062
0.2639 0.4530 0.0938
0.1220 0.1389 0.7234
0.8780 0.8611 0.2766
0.3609 0.7915 0.4173
0.5000 0.0000 0.0000
0.6391 0.2085 0.5827
0.0000 0.0000 0.0000



- Which value of volume does entry 12 give?
  410.9 Å³ per cell



- Among the records above, which one has the highest formation energy from the elements?
  Tb3Nd5In2



- Which value of formation energy from the elements does entry 8 give?
  -0.41 eV/atom



- final energy of number 2 (Tb2NdIn3)?
  -4.19 eV per atom